Run a
A relaxed structure of SmTmHgOs. Source: Alexandria via LeMat-Bulk, functional PBE.

The calculation puts the total magnetization at 0.00 Bohr magnetons per cell.

The structure belongs to space group F-43m (No. 216); the cell edges are 7.122, 7.122 and 7.122 Å and the angles 90.00°, 90.00° and 90.00°. Symmetry generates all atoms from Sm at (0.000, 0.000, 0.000), Tm at (0.000, 0.000, 0.500), Hg at (0.250, 0.250, 0.250) and Os at (0.250, 0.250, 0.750).



Run b
A relaxed structure of SmTmHgOs. Source: Alexandria via LeMat-Bulk, functional PBE.

The calculation puts the total magnetization at 0.00 Bohr magnetons per cell.

The structure belongs to space group P4mm (No. 99); the cell edges are 3.465, 3.465 and 7.685 Å and the angles 90.00°, 90.00° and 90.00°. Symmetry generates all atoms from Sm at (0.000, 0.000, 0.000), Tm at (0.000, 0.000, 0.565), Hg at (0.500, 0.500, 0.297) and Os at (0.500, 0.500, 0.772).



Relative energy table, unit meV/atom: run a 124; run b 0



Run a
A relaxed structure of SnHg2Os2. Source: Alexandria via LeMat-Bulk, functional PBE.

The calculation puts the total magnetization at 0.00 Bohr magnetons per cell.

The structure belongs to space group I4/mmm (No. 139); the cell edges are 3.541, 3.541 and 17.837 Å and the angles 90.00°, 90.00° and 90.00°. Symmetry generates all atoms from Sn at (0.000, 0.000, 0.000), Hg at (0.000, 0.000, 0.385) and Os at (0.000, 0.500, 0.250).



Run b
A relaxed structure of SnHg2Os2. Source: Alexandria via LeMat-Bulk, functional PBE.

The calculation puts the total magnetization at 1.73 Bohr magnetons per cell.

The structure belongs to space group P4/mbm (No. 127); the cell edges are 8.470, 8.470 and 2.867 Å and the angles 90.00°, 90.00° and 90.00°. Symmetry generates all atoms from Sn at (0.000, 0.000, 0.000), Hg at (0.191, 0.309, 0.000) and Os at (0.100, 0.600, 0.500).



Relative energy table, unit meV/atom: run a 0; run b 140



Run a
A relaxed structure of SnHgOs2. Source: Alexandria via LeMat-Bulk, functional PBE.

The calculation puts the total magnetization at 0.00 Bohr magnetons per cell.

The structure belongs to space group I-42d (No. 122); the cell edges are 4.115, 4.115 and 19.664 Å and the angles 90.00°, 90.00° and 90.00°. Symmetry generates all atoms from Sn at (0.000, 0.000, 0.000), Hg at (0.000, 0.000, 0.500) and Os at (0.155, 0.250, 0.625).



Run b
A relaxed structure of SnHgOs2. Source: Alexandria via LeMat-Bulk, functional PBE.

The calculation puts the total magnetization at 0.00 Bohr magnetons per cell.

The structure belongs to space group Fm-3m (No. 225); the cell edges are 6.509, 6.509 and 6.509 Å and the angles 90.00°, 90.00° and 90.00°. Symmetry generates all atoms from Sn at (0.000, 0.000, 0.000), Hg at (0.000, 0.000, 0.500) and Os at (0.250, 0.250, 0.250).



Relative energy table, unit meV/atom: run a 148; run b 0



Run a
A relaxed structure of SrHg2Os. Source: Alexandria via LeMat-Bulk, functional PBE.

The calculation puts the total magnetization at 0.00 Bohr magnetons per cell.

The structure belongs to space group Pm (No. 6); the cell edges are 3.926, 4.730 and 5.650 Å and the angles 90.00°, 90.12° and 90.00°. Symmetry generates all atoms from Sr at (0.000, 0.000, 0.000), Hg at (0.499, 0.500, 0.745), Hg at (0.502, 0.000, 0.454) and Os at (0.501, 0.500, 0.224).



Run b
A relaxed structure of SrHg2Os. Source: Alexandria via LeMat-Bulk, functional PBE.

The calculation puts the total magnetization at 2.76 Bohr magnetons per cell.

The structure belongs to space group R-3m (No. 166, hexagonal axes); the cell edges are 3.2667, 3.2667 and 29.5867 Å and the angles 90.00°, 90.00° and 120.00°. Symmetry generates all atoms from Sr at (0.0000, 0.0000, 0.0000), Hg at (0.0000, 0.0000, 0.2415) and Os at (0.0000, 0.0000, 0.5000).



Relative energy table, unit meV/atom: run a 0; run b 297



Run a
A relaxed structure of SrHg2Os. Source: Alexandria via LeMat-Bulk, functional PBE.

The calculation puts the total magnetization at 0.00 Bohr magnetons per cell.

The structure belongs to space group P4mm (No. 99); the cell edges are 3.654, 3.654 and 7.412 Å and the angles 90.00°, 90.00° and 90.00°. Symmetry generates all atoms from Sr at (0.000, 0.000, 0.000), Hg at (0.000, 0.000, 0.580), Hg at (0.500, 0.500, 0.318) and Os at (0.500, 0.500, 0.709).



Run b
A relaxed structure of SrHg2Os. Source: Alexandria via LeMat-Bulk, functional PBE.

The calculation puts the total magnetization at 0.30 Bohr magnetons per cell.

The structure belongs to space group Imm2 (No. 44); the cell edges are 3.234, 4.555 and 13.840 Å and the angles 90.00°, 90.00° and 90.00°. Symmetry generates all atoms from Sr at (0.000, 0.000, 0.000), Hg at (0.000, 0.000, 0.644), Hg at (0.000, 0.500, 0.815) and Os at (0.000, 0.500, 0.312).



Run c
A relaxed structure of SrHg2Os. Source: Alexandria via LeMat-Bulk, functional PBE.

The calculation puts the total magnetization at 0.00 Bohr magnetons per cell.

The structure belongs to space group F-43m (No. 216); the cell edges are 7.165, 7.165 and 7.165 Å and the angles 90.00°, 90.00° and 90.00°. Symmetry generates all atoms from Sr at (0.000, 0.000, 0.000), Hg at (0.000, 0.000, 0.500), Hg at (0.250, 0.250, 0.250) and Os at (0.250, 0.250, 0.750).



Relative energy table, unit meV/atom: run a 84; run b 0; run c 279



Run a
A relaxed structure of Ta3HgOs. Source: Alexandria via LeMat-Bulk, functional PBE.

The calculation puts the total magnetization at 0.00 Bohr magnetons per cell.

The structure belongs to space group Pm-3m (No. 221); the cell edges are 4.899, 4.899 and 4.899 Å and the angles 90.00°, 90.00° and 90.00°. Symmetry generates all atoms from Ta at (0.000, 0.000, 0.500), Hg at (0.000, 0.000, 0.000) and Os at (0.500, 0.500, 0.500).



Run b
A relaxed structure of Ta3HgOs. Source: Alexandria via LeMat-Bulk, functional PBE.

The calculation puts the total magnetization at 0.00 Bohr magnetons per cell.

The structure belongs to space group Pm-3m (No. 221); the cell edges are 4.861, 4.861 and 4.861 Å and the angles 90.00°, 90.00° and 90.00°. Symmetry generates all atoms from Ta at (0.000, 0.000, 0.500), Hg at (0.500, 0.500, 0.500) and Os at (0.000, 0.000, 0.000).



Relative energy table, unit meV/atom: run a 1594; run b 0



Run a
A relaxed structure of TaHgOs3. Source: Alexandria via LeMat-Bulk, functional PBE.

The calculation puts the total magnetization at 2.05 Bohr magnetons per cell.

The structure belongs to space group Pm-3m (No. 221); the cell edges are 4.787, 4.787 and 4.787 Å and the angles 90.00°, 90.00° and 90.00°. Symmetry generates all atoms from Ta at (0.000, 0.000, 0.000), Hg at (0.500, 0.500, 0.500) and Os at (0.000, 0.000, 0.500).



Run b
A relaxed structure of TaHgOs3. Source: Alexandria via LeMat-Bulk, functional PBE.

The calculation puts the total magnetization at 0.00 Bohr magnetons per cell.

The structure belongs to space group Pm-3m (No. 221); the cell edges are 4.771, 4.771 and 4.771 Å and the angles 90.00°, 90.00° and 90.00°. Symmetry generates all atoms from Ta at (0.000, 0.000, 0.000), Hg at (0.500, 0.500, 0.500) and Os at (0.000, 0.500, 0.500).



Relative energy table, unit meV/atom: run a 0; run b 896



Run a
A relaxed structure of HgTeOs2. Source: Alexandria via LeMat-Bulk, functional PBE.

The calculation puts the total magnetization at 0.00 Bohr magnetons per cell.

The structure belongs to space group Cmm2 (No. 35); the cell edges are 2.883, 5.168 and 10.825 Å and the angles 90.00°, 90.00° and 90.00°. Symmetry generates all atoms from Hg at (0.000, 0.000, 0.000), Te at (0.000, 0.500, 0.664), Os at (0.000, 0.000, 0.436) and Os at (0.000, 0.500, 0.242).



Run b
A relaxed structure of HgTeOs2. Source: Alexandria via LeMat-Bulk, functional PBE.

The calculation puts the total magnetization at 0.00 Bohr magnetons per cell.

The structure belongs to space group Imm2 (No. 44); the cell edges are 2.986, 4.641 and 11.269 Å and the angles 90.00°, 90.00° and 90.00°. Symmetry generates all atoms from Hg at (0.000, 0.000, 0.000), Te at (0.000, 0.500, 0.216), Os at (0.000, 0.000, 0.496) and Os at (0.000, 0.500, 0.809).



Run c
A relaxed structure of HgTeOs2. Source: Alexandria via LeMat-Bulk, functional PBE.

The calculation puts the total magnetization at 0.00 Bohr magnetons per cell.

The structure belongs to space group Cmmm (No. 65); the cell edges are 2.974, 5.132 and 9.557 Å and the angles 90.00°, 90.00° and 90.00°. Symmetry generates all atoms from Hg at (0.000, 0.000, 0.000), Te at (0.000, 0.000, 0.500) and Os at (0.000, 0.500, 0.254).



Run d
A relaxed structure of HgTeOs2. Source: Alexandria via LeMat-Bulk, functional PBE.

The calculation puts the total magnetization at 0.00 Bohr magnetons per cell.

The structure belongs to space group Pmm2 (No. 25); the cell edges are 2.894, 3.679 and 7.725 Å and the angles 90.00°, 90.00° and 90.00°. Symmetry generates all atoms from Hg at (0.000, 0.000, 0.000), Te at (0.500, 0.500, 0.621), Os at (0.000, 0.000, 0.402) and Os at (0.500, 0.500, 0.246).



Relative energy table, unit meV/atom: run a 224; run b 250; run c 535; run d 0



Run a
A relaxed structure of HgTeOs2. Source: Alexandria via LeMat-Bulk, functional PBE.

The calculation puts the total magnetization at 0.00 Bohr magnetons per cell.

The structure belongs to space group C2/m (No. 12); the cell edges are 8.554, 3.087 and 5.682 Å and the angles 90.00°, 100.38° and 90.00°. Symmetry generates all atoms from Hg at (0.000, 0.000, 0.000), Te at (0.000, 0.500, 0.500) and Os at (0.247, 0.000, 0.707).



Run b
A relaxed structure of HgTeOs2. Source: Alexandria via LeMat-Bulk, functional PBE.

The calculation puts the total magnetization at 0.00 Bohr magnetons per cell.

The structure belongs to space group Pmmm (No. 47); the cell edges are 3.035, 4.704 and 5.139 Å and the angles 90.00°, 90.00° and 90.00°. Symmetry generates all atoms from Hg at (0.000, 0.000, 0.000), Te at (0.500, 0.000, 0.500), Os at (0.000, 0.500, 0.500) and Os at (0.500, 0.500, 0.000).



Run c
A relaxed structure of HgTeOs2. Source: Alexandria via LeMat-Bulk, functional PBE.

The calculation puts the total magnetization at 0.00 Bohr magnetons per cell.

The structure belongs to space group P2/m (No. 10); the cell edges are 3.114, 4.276 and 5.637 Å and the angles 90.00°, 103.21° and 90.00°. Symmetry generates all atoms from Hg at (0.000, 0.000, 0.000), Te at (0.500, 0.000, 0.500) and Os at (0.363, 0.500, 0.736).



Run d
A relaxed structure of HgTeOs2. Source: Alexandria via LeMat-Bulk, functional PBE.

The calculation puts the total magnetization at 0.00 Bohr magnetons per cell.

The structure belongs to space group Cm (No. 8); the cell edges are 10.601, 3.012 and 5.637 Å and the angles 90.00°, 120.71° and 90.00°. Symmetry generates all atoms from Hg at (0.000, 0.000, 0.000), Te at (0.182, 0.000, 0.641), Os at (0.255, 0.500, 0.092) and Os at (0.444, 0.000, 0.497).



Relative energy table, unit meV/atom: run a 86; run b 416; run c 298; run d 0



Run a
A relaxed structure of HgTeOs2. Source: Alexandria via LeMat-Bulk, functional PBE.

The calculation puts the total magnetization at 0.00 Bohr magnetons per cell.

The structure belongs to space group I-42d (No. 122); the cell edges are 7.457, 7.457 and 5.649 Å and the angles 90.00°, 90.00° and 90.00°. Symmetry generates all atoms from Hg at (0.000, 0.000, 0.000), Te at (0.000, 0.000, 0.500) and Os at (0.210, 0.250, 0.625).



Run b
A relaxed structure of HgTeOs2. Source: Alexandria via LeMat-Bulk, functional PBE.

The calculation puts the total magnetization at 0.00 Bohr magnetons per cell.

The structure belongs to space group F-43m (No. 216); the cell edges are 6.632, 6.632 and 6.632 Å and the angles 90.00°, 90.00° and 90.00°. Symmetry generates all atoms from Hg at (0.000, 0.000, 0.000), Te at (0.250, 0.250, 0.250), Os at (0.000, 0.000, 0.500) and Os at (0.250, 0.250, 0.750).



Relative energy table, unit meV/atom: run a 50; run b 0



Run a
A relaxed structure of HgTeOs2. Source: Alexandria via LeMat-Bulk, functional PBE.

The calculation puts the total magnetization at 0.00 Bohr magnetons per cell.

The structure belongs to space group P4mm (No. 99); the cell edges are 2.950, 2.950 and 9.098 Å and the angles 90.00°, 90.00° and 90.00°. Symmetry generates all atoms from Hg at (0.000, 0.000, 0.000), Te at (0.500, 0.500, 0.656), Os at (0.000, 0.000, 0.413) and Os at (0.500, 0.500, 0.240).



Run b
A relaxed structure of HgTeOs2. Source: Alexandria via LeMat-Bulk, functional PBE.

The calculation puts the total magnetization at 0.00 Bohr magnetons per cell.

The structure belongs to space group Pm (No. 6); the cell edges are 2.851, 3.556 and 8.113 Å and the angles 90.00°, 90.10° and 90.00°. Symmetry generates all atoms from Hg at (0.000, 0.000, 0.000), Te at (0.997, 0.500, 0.343), Os at (0.499, 0.500, 0.753) and Os at (0.997, 0.000, 0.603).



Run c
A relaxed structure of HgTeOs2. Source: Alexandria via LeMat-Bulk, functional PBE.

The calculation puts the total magnetization at 0.00 Bohr magnetons per cell.

The structure belongs to space group Fm-3m (No. 225); the cell edges are 6.541, 6.541 and 6.541 Å and the angles 90.00°, 90.00° and 90.00°. Symmetry generates all atoms from Hg at (0.000, 0.000, 0.000), Te at (0.000, 0.000, 0.500) and Os at (0.250, 0.250, 0.250).



Relative energy table, unit meV/atom: run a 81; run b 0; run c 506